(1)
Entry from Alexandria via LeMat-Bulk: a relaxed Ti7Al3O2 crystal (PBE).

Properties
Uncorrected energy, eV per formula unit: -89.33

Cell and atoms, written as POSCAR:
```
Ti7Al3O2
1.0
2.035 -10.393 0.000
2.035 10.393 0.000
0.000 0.000 4.093
Ti Al O
7 3 2
Cartesian
0.000 0.000 0.000 Ti
2.035 8.353 2.046 Ti
2.035 6.175 0.000 Ti
2.035 2.138 0.000 Ti
2.035 -2.138 0.000 Ti
2.035 -6.175 0.000 Ti
2.035 -8.353 2.046 Ti
2.035 4.172 2.046 Al
2.035 0.000 2.046 Al
2.035 -4.172 2.046 Al
2.035 8.286 0.000 O
2.035 -8.286 0.000 O
```


(2)
Entry from Alexandria via LeMat-Bulk: a relaxed TiAlO3 crystal (PBE).

Properties
Uncorrected energy, eV per formula unit: -40.92

Cell and atoms, written as POSCAR:
```
TiAlO3
1.0
2.468 1.425 4.630
-2.468 1.425 4.630
0.000 -2.850 4.630
Ti Al O
2 2 6
Cartesian
0.000 0.000 2.064 Ti
0.000 0.000 11.825 Ti
0.000 0.000 4.838 Al
0.000 0.000 9.051 Al
-0.951 -1.353 5.716 O
-1.647 0.147 8.173 O
-0.696 1.500 5.716 O
0.696 -1.500 8.173 O
1.647 -0.147 5.716 O
0.951 1.353 8.173 O
```


Energy relative to the elements, uncorrected, respectively: -1077 -2881 meV/atom.